# 1
The following is a DFT calculation (PBE) of a relaxed LaPmBeSi crystal.

Unit cell a=5.0925 b=5.0925 c=5.0925 alpha=60.00 beta=60.00 gamma=60.00
Positions (direct):
Si (0.7500, 0.7500, 0.7500)
Be (0.2500, 0.2500, 0.2500)
La (0.5000, 0.5000, 0.5000)
Pm (0.0000, 0.0000, 0.0000)

Properties
Space-group type: F-43m, No. 216
Formation energy (no corrections), eV/atom: -0.171

# 2
The following is a DFT calculation (PBE) of a relaxed P2Rh crystal.

Unit cell a=4.3242 b=4.3242 c=2.6832 alpha=90.00 beta=90.00 gamma=120.00
Positions (direct):
P (0.3333, 0.6667, 0.0006)
P (0.6667, 0.3333, 0.9994)
Rh (0.0000, 0.0000, 0.0000)

Properties
Calculated formation energy, eV/atom: -0.039
Space-group type: P6/mmm, No. 191

# 3
The following is a DFT calculation (PBE) of a relaxed PmNd4Y5 crystal.

Unit cell a=3.6368 b=3.6368 c=25.3930 alpha=90.00 beta=90.00 gamma=90.00
Positions (direct):
Nd (0.0000, 0.0000, 0.8004)
Nd (0.0000, 0.0000, 0.3998)
Nd (0.0000, 0.0000, 0.6002)
Nd (0.0000, 0.0000, 0.1996)
Y (0.5000, 0.5000, 0.5000)
Y (0.5000, 0.5000, 0.0994)
Y (0.5000, 0.5000, 0.2997)
Y (0.5000, 0.5000, 0.7003)
Y (0.5000, 0.5000, 0.9006)
Pm (0.0000, 0.0000, 0.0000)

Properties
Calculated formation energy, eV/atom: 0.014
Space-group type: P4/mmm, No. 123

# 4
The following is a DFT calculation (PBE) of a relaxed CoReNi crystal.

Unit cell a=3.6269 b=3.6358 c=11.0190 alpha=90.00 beta=90.00 gamma=90.00
Positions (direct):
Co (0.5000, 0.2500, 0.4243)
Co (0.0000, 0.2500, 0.9243)
Co (0.0000, 0.7500, 0.0757)
Co (0.5000, 0.7500, 0.5757)
Re (0.5000, 0.7500, 0.9143)
Re (0.0000, 0.2500, 0.5857)
Re (0.0000, 0.7500, 0.4143)
Re (0.5000, 0.2500, 0.0857)
Ni (0.9999, 0.7500, 0.7518)
Ni (0.0001, 0.2500, 0.2482)
Ni (0.4999, 0.2500, 0.7482)
Ni (0.5001, 0.7500, 0.2518)

Properties
Calculated formation energy, eV/atom: 0.035
Space-group type: Cmcm, No. 63

Number 1: DFT total energy -19.5 eV for the cell shown, density of states at the Fermi level 1.8 states/eV/cell. Number 2: DFT total energy -18.3 eV for the cell shown, density of states at the Fermi level 2.1 states/eV/cell. Number 3: DFT total energy -56.0 eV for the cell shown, density of states at the Fermi level 14.3 states/eV/cell. Number 4: DFT total energy -100.9 eV for the cell shown, density of states at the Fermi level 15.5 states/eV/cell.